First-principles (PBE) data for a geometry-optimized Pm6Ir2Pb3 structure, as listed in Alexandria.

- Spin magnetization: 0.00 μB per formula unit
- DFT formation energy: -8.7 kcal/mol of atoms

a b c (Å): 5.0364 5.0364 28.0372
angles (deg): 90.00 90.00 90.00
With the nearest neighbours (Å) after each atom.
Space group I4/mmm (No. 139)
One atom of each set of equivalent atoms:
Pm: 0.0000 0.0000 0.2151 (multiplicity 4)  1 Ir 2.71
Pm: 0.0000 0.5000 0.0776 (multiplicity 8)  2 Ir 2.76
Ir: 0.0000 0.0000 0.1184 (multiplicity 4)  5 Pm 2.71-2.76
Pb: 0.0000 0.0000 0.3307 (multiplicity 4)  5 Pm 3.24-3.60
Pb: 0.0000 0.0000 0.5000 (multiplicity 2)  8 Pm 3.33